Entry 1:
The following is a DFT calculation (PBE-GGA) of a relaxed structure of NaIn2Hg.

Values from the calculation:
- Volume: 25.30 Å³/atom
- Magnetization: 0.00 Bohr magnetons per cell
- Space-group type: P4/mmm, No. 123
- ΔH_f (0 K): -0.116 eV per atom
- Energy: -1.890 eV per atom
- Theoretical density: 7.44 Mg/m³

Cell: 4.891 4.548 4.548 Å, 90.00 90.00 90.00°
Sites, in units of the cell vectors:
Na 0.500 0.000 0.000
In 0.000 0.000 0.500
In 0.000 0.500 0.000
Hg 0.500 0.500 0.500

---

Entry 2:
The following is a DFT calculation (PBE-GGA) of a relaxed structure of NaIn12Hg6.

Values from the calculation:
- Volume: 28.63 Å³/atom
- Magnetization: 0.00 Bohr magnetons per cell
- Energy above the lowest structure with this stoichiometry: 27 meV/atom
- Space-group type: R-3m, No. 166
- ΔH_f (0 K): 0.039 eV per atom
- Energy: -1.855 eV per atom
- Theoretical density: 7.95 Mg/m³

Cell: 8.642 8.642 8.642 Å, 106.55 106.55 106.55°
Sites, in units of the cell vectors:
Hg 0.300 0.717 0.300
Hg 0.717 0.300 0.300
Hg 0.700 0.700 0.283
Hg 0.300 0.300 0.717
Hg 0.283 0.700 0.700
Hg 0.700 0.283 0.700
In 0.886 0.114 0.500
In 0.631 0.631 0.870
In 0.369 0.369 0.130
In 0.369 0.130 0.369
In 0.130 0.369 0.369
In 0.886 0.500 0.114
In 0.114 0.886 0.500
In 0.631 0.870 0.631
In 0.114 0.500 0.886
In 0.500 0.114 0.886
In 0.870 0.631 0.631
In 0.500 0.886 0.114
Na 0.000 0.000 0.000

---

Entry 3:
The following is a DFT calculation (PBE-GGA) of a relaxed structure of Na2In2Hg15.

Values from the calculation:
- Volume: 27.84 Å³/atom
- Magnetization: 0.00 Bohr magnetons per cell
- Space-group type: R-3m, No. 166
- ΔH_f (0 K): -0.047 eV per atom
- Energy: -0.712 eV per atom
- Theoretical density: 10.31 Mg/m³

Cell: 8.643 8.643 8.643 Å, 67.43 67.43 67.43°
Sites, in units of the cell vectors:
Hg 0.411 0.824 0.411
Hg 0.000 0.690 0.310
Hg 0.310 0.000 0.690
Hg 0.589 0.176 0.589
Hg 0.000 0.000 0.500
Hg 0.690 0.000 0.310
Hg 0.411 0.411 0.824
Hg 0.000 0.310 0.690
Hg 0.000 0.500 0.000
Hg 0.589 0.589 0.176
Hg 0.824 0.411 0.411
Hg 0.176 0.589 0.589
Hg 0.690 0.310 0.000
Hg 0.310 0.690 0.000
Hg 0.500 0.000 0.000
In 0.908 0.908 0.908
In 0.092 0.092 0.092
Na 0.708 0.708 0.708
Na 0.292 0.292 0.292

---

Entry 4:
The following is a DFT calculation (PBE-GGA) of a relaxed structure of Na3In8Hg.

Values from the calculation:
- Volume: 28.21 Å³/atom
- Magnetization: 0.00 Bohr magnetons per cell
- Space-group type: P3m1, No. 156
- ΔH_f (0 K): -0.069 eV per atom
- Energy: -2.249 eV per atom
- Theoretical density: 5.83 Mg/m³

Cell: 6.297 6.297 9.857 Å, 90.00 90.00 120.00°
Sites, in units of the cell vectors:
Hg 0.000 0.000 0.571
In 0.161 0.839 0.251
In 0.678 0.839 0.251
In 0.989 0.495 0.749
In 0.333 0.667 0.999
In 0.505 0.011 0.749
In 0.161 0.322 0.251
In 0.505 0.495 0.749
In 0.333 0.667 0.500
Na 0.667 0.333 0.438
Na 0.000 0.000 0.924
Na 0.667 0.333 0.069

---

Entry 5:
The following is a DFT calculation (PBE-GGA) of a relaxed structure of Na8In2Hg.

Values from the calculation:
- Volume: 29.33 Å³/atom
- Magnetization: 0.00 Bohr magnetons per cell
- Energy above the lowest structure with this stoichiometry: 5 meV/atom
- Space-group type: C2/m, No. 12
- ΔH_f (0 K): -0.091 eV per atom
- Energy: -1.576 eV per atom
- Theoretical density: 3.16 Mg/m³

Cell: 5.526 6.292 9.689 Å, 92.14 106.57 90.00°
Sites, in units of the cell vectors:
Na 0.952 0.751 0.904
Na 0.151 0.815 0.302
Na 0.849 0.185 0.698
Na 0.412 0.432 0.824
Na 0.588 0.568 0.176
Na 0.676 0.114 0.352
Na 0.048 0.249 0.096
Na 0.324 0.886 0.648
Hg 0.500 0.000 0.000
In 0.765 0.631 0.530
In 0.235 0.369 0.470

---

Entry 6:
The following is a DFT calculation (PBE-GGA) of a relaxed structure of NaIn3Hg.

Values from the calculation:
- Volume: 27.29 Å³/atom
- Magnetization: 0.00 Bohr magnetons per cell
- Energy above the lowest structure with this stoichiometry: 0 meV/atom
- Space-group type: C2/m, No. 12
- ΔH_f (0 K): -0.076 eV per atom
- Energy: -2.043 eV per atom
- Theoretical density: 6.91 Mg/m³

Cell: 4.843 7.234 8.714 Å, 110.59 106.13 90.00°
Sites, in units of the cell vectors:
Na 0.478 0.738 0.955
Na 0.522 0.262 0.045
In 0.307 0.968 0.613
In 0.272 0.394 0.543
In 0.109 0.627 0.219
In 0.891 0.373 0.781
In 0.728 0.606 0.457
In 0.693 0.032 0.387
Hg 0.094 0.069 0.188
Hg 0.906 0.931 0.812

---

Entry 7:
The following is a DFT calculation (PBE-GGA) of a relaxed structure of Na6In12Hg.

Values from the calculation:
- Volume: 27.22 Å³/atom
- Magnetization: 0.00 Bohr magnetons per cell
- Space-group type: R-3, No. 148
- ΔH_f (0 K): -0.065 eV per atom
- Energy: -2.227 eV per atom
- Theoretical density: 5.51 Mg/m³

Cell: 8.033 8.033 8.033 Å, 92.24 87.76 87.76°
Sites, in units of the cell vectors:
In 0.145 0.945 0.627
In 0.373 0.855 0.945
In 0.459 0.464 0.214
In 0.541 0.536 0.786
In 0.214 0.459 0.536
In 0.786 0.541 0.464
In 0.536 0.214 0.541
In 0.464 0.786 0.459
In 0.627 0.145 0.055
In 0.855 0.055 0.373
In 0.055 0.627 0.855
In 0.945 0.373 0.145
Na 0.741 0.885 0.722
Na 0.278 0.259 0.885
Na 0.885 0.278 0.741
Na 0.722 0.741 0.115
Na 0.115 0.722 0.259
Na 0.259 0.115 0.278
Hg 0.000 0.000 0.000

---

Entry 8:
The following is a DFT calculation (PBE-GGA) of a relaxed structure of Na2InHg9.

Values from the calculation:
- Volume: 26.75 Å³/atom
- Magnetization: 0.00 Bohr magnetons per cell
- Energy above the lowest structure with this stoichiometry: 41 meV/atom
- Space-group type: P6/mmm, No. 191
- ΔH_f (0 K): -0.082 eV per atom
- Energy: -0.756 eV per atom
- Theoretical density: 10.17 Mg/m³

Cell: 3.246 10.685 10.685 Å, 120.00 90.00 90.00°
Sites, in units of the cell vectors:
Hg 0.500 0.826 0.174
Hg 0.000 0.000 0.500
Hg 0.500 0.174 0.347
Hg 0.500 0.653 0.826
Hg 0.500 0.347 0.174
Hg 0.500 0.826 0.653
Hg 0.000 0.500 0.000
Hg 0.000 0.500 0.500
Hg 0.500 0.174 0.826
Na 0.000 0.333 0.667
Na 0.000 0.667 0.333
In 0.000 0.000 0.000

---

Entry 9:
The following is a DFT calculation (PBE-GGA) of a relaxed structure of Na4In4Hg3.

Values from the calculation:
- Volume: 27.54 Å³/atom
- Magnetization: 0.00 Bohr magnetons per cell
- Space-group type: Immm, No. 71
- ΔH_f (0 K): -0.074 eV per atom
- Energy: -1.631 eV per atom
- Theoretical density: 6.32 Mg/m³

Cell: 3.460 8.091 11.681 Å, 110.26 98.52 90.00°
Sites, in units of the cell vectors:
In 0.358 0.169 0.716
In 0.358 0.547 0.716
In 0.642 0.831 0.284
In 0.642 0.453 0.284
Hg 0.893 0.893 0.787
Hg 0.107 0.107 0.213
Hg 0.000 0.500 0.000
Na 0.742 0.242 0.484
Na 0.500 0.811 0.000
Na 0.500 0.189 0.000
Na 0.258 0.758 0.516

---

Entry 10:
The following is a DFT calculation (PBE-GGA) of a relaxed structure of NaInHg.

Values from the calculation:
- Volume: 26.08 Å³/atom
- Magnetization: 0.00 Bohr magnetons per cell
- Energy above the lowest structure with this stoichiometry: 0 meV/atom
- Space-group type: P3m1, No. 156
- ΔH_f (0 K): -0.189 eV per atom
- Energy: -1.642 eV per atom
- Theoretical density: 7.18 Mg/m³

Cell: 3.508 5.075 5.075 Å, 120.00 90.00 90.00°
Sites, in units of the cell vectors:
Hg 0.166 0.000 0.000
In 0.168 0.667 0.333
Na 0.666 0.333 0.667

---

Entry 11:
The following is a DFT calculation (PBE-GGA) of a relaxed structure of Na8InHg3.

Values from the calculation:
- Volume: 33.91 Å³/atom
- Magnetization: 0.00 Bohr magnetons per cell
- Space-group type: Fmmm, No. 69
- ΔH_f (0 K): -0.071 eV per atom
- Energy: -1.254 eV per atom
- Theoretical density: 3.67 Mg/m³

Cell: 9.165 9.180 9.158 Å, 47.15 111.29 132.86°
Sites, in units of the cell vectors:
Hg 0.500 0.000 0.500
Hg 0.250 0.500 0.250
Hg 0.750 0.500 0.750
Na 0.875 0.000 0.624
Na 0.625 0.499 0.375
Na 0.375 0.501 0.625
Na 0.874 0.499 0.126
Na 0.126 0.000 0.376
Na 0.125 0.501 0.875
Na 0.376 0.000 0.125
Na 0.624 0.000 0.875
In 0.000 0.000 0.000

---

- Among the records above, which one has the lowest ΔH_f (0 K)?
  NaInHg